Record 1
Compound: Ta2MnCd2S6
Source: the Alexandria database
Functional: GGA-PBE
Structure: optimized geometry

Calculated values
Space-group type   C2/m, No. 12

Lattice parameters (Å, degrees): 5.858 5.858 9.463 101.73 101.73 121.21
Positions (direct):
Ta (0.350, 0.650, 0.500)
Ta (0.650, 0.350, 0.500)
Mn (0.000, 0.000, 0.500)
Cd (0.746, 0.254, 0.000)
Cd (0.254, 0.746, 0.000)
S (0.810, 0.810, 0.682)
S (0.103, 0.430, 0.665)
S (0.190, 0.190, 0.318)
S (0.430, 0.103, 0.665)
S (0.897, 0.570, 0.335)
S (0.570, 0.897, 0.335)


Record 2
Compound: MnVCd2S
Source: the Alexandria database
Functional: GGA-PBE
Structure: optimized geometry

Calculated values
Space-group type   P4/mmm, No. 123

Lattice parameters (Å, degrees): 5.115 4.065 5.115 90.00 90.00 90.00
Positions (direct):
V (0.500, 0.500, 0.500)
Mn (0.000, 0.000, 0.000)
S (0.000, 0.500, 0.000)
Cd (0.000, 0.000, 0.500)
Cd (0.500, 0.000, 0.000)


Record 3
Compound: MnCd2Sb
Source: the Alexandria database
Functional: GGA-PBE
Structure: optimized geometry

Calculated values
Space-group type   R3m, No. 160

Lattice parameters (Å, degrees): 9.878 9.878 9.878 18.78 18.78 18.78
Positions (direct):
Cd (0.996, 0.996, 0.996)
Cd (0.242, 0.242, 0.242)
Mn (0.501, 0.501, 0.501)
Sb (0.761, 0.761, 0.761)


no.,raw total energy (eV/atom),E_form (uncorrected) (eV/atom)
1,-6.07,-0.660
2,-4.17,0.674
3,-3.56,0.224